Material: Ba4RhO5
Method: DFT, PBE
State: relaxed

a = 8.275 Å, b = 8.275 Å, c = 5.643 Å
α = 90.00°, β = 90.00°, γ = 90.00°
Space group I4 (No. 79)
Unique sites:
Ba (0.103, 0.709, 0.000) [8 per cell]
Rh (0.000, 0.000, 0.490) [2 per cell]
O (0.000, 0.000, 0.902) [2 per cell]
O (0.087, 0.736, 0.483) [8 per cell]

Crystal system = tetragonal
Final energy = -5.871 eV per atom

=====

Material: Ba2RhO5
Method: DFT, PBE
State: relaxed

a = 6.158 Å, b = 6.158 Å, c = 7.612 Å
α = 90.00°, β = 90.00°, γ = 90.00°
Space group I4mm (No. 107)
Unique sites:
Ba (0.000, 0.500, 0.000) [4 per cell]
Rh (0.000, 0.000, 0.233) [2 per cell]
O (0.000, 0.000, 0.993) [2 per cell]
O (0.219, 0.219, 0.275) [8 per cell]

Crystal system = tetragonal
Final energy = -6.082 eV per atom

=====

Material: Ba2RhO6
Method: DFT, PBE
State: relaxed

a = 5.878 Å, b = 5.878 Å, c = 8.185 Å
α = 90.00°, β = 90.00°, γ = 90.00°
Space group I4/mmm (No. 139)
Unique sites:
Ba (0.000, 0.500, 0.250) [4 per cell]
Rh (0.000, 0.000, 0.000) [2 per cell]
O (0.000, 0.000, 0.234) [4 per cell]
O (0.231, 0.231, 0.000) [8 per cell]

Crystal system = tetragonal
Final energy = -5.848 eV per atom